# 1
42
Lattice="6.671 -6.076 0.000 6.671 6.076 0.000 0.000 0.000 10.853" Properties=species:S:1:pos:R:3 comment="GGA-PBEsol Ti6CCl14, relaxed" formation_energy_uncorrected_ev_per_fu=-34.43 crystal_system=orthorhombic density_g_cm3=3.00 pbc="T T T"
Ti 1.517 0.808 9.590
Ti 6.671 4.352 9.746
Ti 1.517 -0.808 1.263
Ti 5.154 0.808 6.690
Ti 6.671 1.724 4.319
Ti 5.154 -0.808 4.163
Ti 8.188 0.808 6.690
Ti 6.671 -1.724 6.534
Ti 8.188 -0.808 4.163
Ti 11.825 0.808 9.590
Ti 6.671 -4.352 1.108
Ti 11.825 -0.808 1.263
C 0.000 0.000 0.000
C 6.671 0.000 5.427
Cl 1.634 1.085 2.671
Cl 3.335 1.792 8.140
Cl 5.027 3.199 0.113
Cl 5.027 2.877 5.540
Cl 6.671 4.231 2.849
Cl 1.634 -1.085 8.182
Cl 3.317 0.000 0.000
Cl 3.354 0.000 5.427
Cl 5.037 1.085 2.756
Cl 6.671 1.845 8.275
Cl 8.315 3.199 0.113
Cl 8.315 2.877 5.540
Cl 3.335 -1.792 2.713
Cl 5.037 -1.085 8.098
Cl 8.304 1.085 2.756
Cl 10.006 1.792 8.140
Cl 5.027 -2.877 5.314
Cl 5.027 -3.199 10.740
Cl 6.671 -1.845 2.578
Cl 8.304 -1.085 8.098
Cl 9.988 0.000 5.427
Cl 10.025 0.000 0.000
Cl 11.708 1.085 2.671
Cl 6.671 -4.231 8.005
Cl 8.315 -2.877 5.314
Cl 8.315 -3.199 10.740
Cl 10.006 -1.792 2.713
Cl 11.708 -1.085 8.182


# 2
2
Lattice="0.000 3.138 3.138 3.138 0.000 3.138 3.138 3.138 0.000" Properties=species:S:1:pos:R:3 comment="GGA-PBEsol GdBi, relaxed" final_energy_ev_per_cell=-20.62 crystal_system=cubic density_g_cm3=9.84 pbc="T T T"
Gd 0.000 0.000 0.000
Bi 3.138 3.138 3.138


# 3
5
Lattice="3.786 0.000 0.000 0.000 3.786 0.000 0.000 0.000 3.637" Properties=species:S:1:pos:R:3 comment="GGA-PBEsol TiGeN2F, relaxed" formation_energy_uncorrected_ev_per_fu=-1.24 crystal_system=tetragonal density_g_cm3=5.33 pbc="T T T"
Ti 0.000 0.000 0.000
Ge 1.893 1.893 1.819
N 0.000 1.893 1.819
N 1.893 0.000 1.819
F 1.893 1.893 0.000


# 4
5
Lattice="5.489 0.000 0.000 0.000 5.489 0.000 0.000 0.000 5.652" Properties=species:S:1:pos:R:3 comment="GGA-PBEsol TlCd2TeSe, relaxed" formation_energy_uncorrected_ev_per_fu=1.49 crystal_system=tetragonal density_g_cm3=6.20 pbc="T T T"
Tl 0.000 0.000 0.000
Cd 0.000 2.744 2.826
Cd 2.744 0.000 2.826
Te 2.744 2.744 2.826
Se 2.744 2.744 0.000


# 5
4
Lattice="0.000 3.448 3.448 3.448 0.000 3.448 3.448 3.448 0.000" Properties=species:S:1:pos:R:3 comment="GGA-PBEsol YCrSe2, relaxed" formation_energy_uncorrected_ev_per_fu=-0.74 crystal_system=cubic density_g_cm3=6.05 pbc="T T T"
Y 0.000 0.000 0.000
Cr 1.724 1.724 1.724
Se 3.448 3.448 3.448
Se 5.172 5.172 5.172


# 6
4
Lattice="2.905 0.000 0.000 -1.452 2.516 0.000 0.000 0.000 8.779" Properties=species:S:1:pos:R:3 comment="GGA-PBEsol FeHg, relaxed" final_energy_ev_per_cell=-17.00 crystal_system=hexagonal density_g_cm3=13.28 pbc="T T T"
Fe 0.000 1.677 2.195
Fe 1.452 0.839 6.584
Hg 0.000 0.000 0.000
Hg 0.000 0.000 4.390


# 7
4
Lattice="1.475 -2.135 0.000 1.475 2.135 0.000 0.000 0.000 8.781" Properties=species:S:1:pos:R:3 comment="GGA-PBEsol CuReTc2, relaxed" final_energy_ev_per_cell=-38.84 crystal_system=orthorhombic density_g_cm3=13.38 pbc="T T T"
Cu 0.000 0.000 0.000
Re 1.475 0.000 6.597
Tc 0.000 0.000 4.371
Tc 1.475 0.000 2.175


# 8
10
Lattice="0.000 5.512 5.512 5.512 0.000 5.512 5.512 5.512 0.000" Properties=species:S:1:pos:R:3 comment="GGA-PBEsol Rb2AgSbBr6, relaxed" formation_energy_uncorrected_ev_per_fu=-10.13 crystal_system=cubic density_g_cm3=4.36 pbc="T T T"
Rb 2.756 2.756 2.756
Rb 8.269 8.269 8.269
Ag 0.000 0.000 0.000
Sb 5.512 5.512 5.512
Br 5.512 5.512 2.736
Br 5.512 2.736 5.512
Br 8.289 5.512 5.512
Br 2.736 5.512 5.512
Br 5.512 8.289 5.512
Br 5.512 5.512 8.289